Arrangement A

DFT (PBE-GGA) results for a geometry-optimized BeTc2C structure.

```
data_BeTc2C
_chemical_formula_sum 'Be1 Tc2 C1'
_space_group_name_H-M_alt 'P 1'
_space_group_IT_number 1
_space_group_name_Hall 'P 1'
_cell_length_a 3.887
_cell_length_b 3.887
_cell_length_c 3.887
_cell_angle_alpha 60.00
_cell_angle_beta 60.00
_cell_angle_gamma 60.00
loop_
_atom_site_label
_atom_site_fract_x
_atom_site_fract_y
_atom_site_fract_z
_atom_site_occupancy
Be1 0.000 0.000 0.000 1
Tc1 0.250 0.250 0.250 1
Tc2 0.750 0.750 0.750 1
C1 0.500 0.500 0.500 1
```



Arrangement B

DFT (PBE-GGA) results for a geometry-optimized BeTc2C structure.

```
data_BeTc2C
_chemical_formula_sum 'Be2 Tc4 C2'
_space_group_name_H-M_alt 'P 1'
_space_group_IT_number 1
_space_group_name_Hall 'P 1'
_cell_length_a 4.929
_cell_length_b 4.929
_cell_length_c 4.929
_cell_angle_alpha 108.45
_cell_angle_beta 108.45
_cell_angle_gamma 111.53
loop_
_atom_site_label
_atom_site_fract_x
_atom_site_fract_y
_atom_site_fract_z
_atom_site_occupancy
Be1 0.000 0.000 0.000 1
Be2 0.750 0.250 0.500 1
Tc1 0.170 0.625 0.045 1
Tc2 0.375 0.420 0.545 1
Tc3 0.580 0.125 0.955 1
Tc4 0.875 0.830 0.455 1
C1 0.250 0.750 0.500 1
C2 0.500 0.500 0.000 1
```



Energetically preferred structure: arrangement B | next structure: +25.5 kJ/mol of atoms



Arrangement A

DFT (PBE-GGA) results for a geometry-optimized Be3TcC structure.

```
data_Be3TcC
_chemical_formula_sum 'Be3 Tc1 C1'
_space_group_name_H-M_alt 'P 1'
_space_group_IT_number 1
_space_group_name_Hall 'P 1'
_cell_length_a 3.559
_cell_length_b 3.559
_cell_length_c 3.559
_cell_angle_alpha 90.00
_cell_angle_beta 90.00
_cell_angle_gamma 90.00
loop_
_atom_site_label
_atom_site_fract_x
_atom_site_fract_y
_atom_site_fract_z
_atom_site_occupancy
Be1 0.000 0.000 0.500 1
Be2 0.000 0.500 0.000 1
Be3 0.500 0.000 0.000 1
Tc1 0.500 0.500 0.500 1
C1 0.000 0.000 0.000 1
```



Arrangement B

DFT (PBE-GGA) results for a geometry-optimized Be3TcC structure.

```
data_Be3TcC
_chemical_formula_sum 'Be3 Tc1 C1'
_space_group_name_H-M_alt 'P 1'
_space_group_IT_number 1
_space_group_name_Hall 'P 1'
_cell_length_a 4.150
_cell_length_b 4.150
_cell_length_c 4.150
_cell_angle_alpha 90.00
_cell_angle_beta 90.00
_cell_angle_gamma 90.00
loop_
_atom_site_label
_atom_site_fract_x
_atom_site_fract_y
_atom_site_fract_z
_atom_site_occupancy
Be1 0.000 0.000 0.500 1
Be2 0.000 0.500 0.000 1
Be3 0.500 0.000 0.000 1
Tc1 0.000 0.000 0.000 1
C1 0.500 0.500 0.500 1
```



Energetically preferred structure: arrangement A | next structure: +170.1 kJ/mol of atoms



Arrangement A

DFT (PBE-GGA) results for a geometry-optimized BeZnTc2C structure.

```
data_BeZnTc2C
_chemical_formula_sum 'Be1 Zn1 Tc2 C1'
_space_group_name_H-M_alt 'P 1'
_space_group_IT_number 1
_space_group_name_Hall 'P 1'
_cell_length_a 4.148
_cell_length_b 4.148
_cell_length_c 3.418
_cell_angle_alpha 90.00
_cell_angle_beta 90.00
_cell_angle_gamma 90.00
loop_
_atom_site_label
_atom_site_fract_x
_atom_site_fract_y
_atom_site_fract_z
_atom_site_occupancy
Be1 0.000 0.000 0.000 1
Zn1 0.500 0.500 0.000 1
Tc1 0.000 0.500 0.500 1
Tc2 0.500 0.000 0.500 1
C1 0.000 0.000 0.500 1
```



Arrangement B

DFT (PBE-GGA) results for a geometry-optimized BeZnTc2C structure.

```
data_BeZnTc2C
_chemical_formula_sum 'Be1 Zn1 Tc2 C1'
_space_group_name_H-M_alt 'P 1'
_space_group_IT_number 1
_space_group_name_Hall 'P 1'
_cell_length_a 4.352
_cell_length_b 4.352
_cell_length_c 3.135
_cell_angle_alpha 90.00
_cell_angle_beta 90.00
_cell_angle_gamma 90.00
loop_
_atom_site_label
_atom_site_fract_x
_atom_site_fract_y
_atom_site_fract_z
_atom_site_occupancy
Be1 0.000 0.000 0.000 1
Zn1 0.500 0.500 0.500 1
Tc1 0.000 0.500 0.000 1
Tc2 0.500 0.000 0.000 1
C1 0.000 0.000 0.500 1
```



Energetically preferred structure: arrangement A | next structure: +86.3 kJ/mol of atoms



Arrangement A

DFT (PBE-GGA) results for a geometry-optimized BeTeC2 structure.

```
data_BeTeC2
_chemical_formula_sum 'Be1 Te1 C2'
_space_group_name_H-M_alt 'P 1'
_space_group_IT_number 1
_space_group_name_Hall 'P 1'
_cell_length_a 3.996
_cell_length_b 3.996
_cell_length_c 3.996
_cell_angle_alpha 60.00
_cell_angle_beta 60.00
_cell_angle_gamma 60.00
loop_
_atom_site_label
_atom_site_fract_x
_atom_site_fract_y
_atom_site_fract_z
_atom_site_occupancy
Be1 0.000 0.000 0.000 1
Te1 0.500 0.500 0.500 1
C1 0.250 0.250 0.250 1
C2 0.750 0.750 0.750 1
```



Arrangement B

DFT (PBE-GGA) results for a geometry-optimized BeTeC2 structure.

```
data_BeTeC2
_chemical_formula_sum 'Be2 Te2 C4'
_space_group_name_H-M_alt 'P 1'
_space_group_IT_number 1
_space_group_name_Hall 'P 1'
_cell_length_a 5.690
_cell_length_b 5.690
_cell_length_c 5.690
_cell_angle_alpha 132.31
_cell_angle_beta 132.31
_cell_angle_gamma 69.74
loop_
_atom_site_label
_atom_site_fract_x
_atom_site_fract_y
_atom_site_fract_z
_atom_site_occupancy
Be1 0.000 0.000 0.000 1
Be2 0.750 0.250 0.500 1
Te1 0.250 0.750 0.500 1
Te2 0.500 0.500 0.000 1
C1 0.083 0.625 0.958 1
C2 0.375 0.333 0.458 1
C3 0.667 0.125 0.042 1
C4 0.875 0.917 0.542 1
```



Energetically preferred structure: arrangement B | next structure: +124.7 kJ/mol of atoms